Material: LiLuGaHg
Method: DFT, PBE
State: optimized geometry

Summary:
D(E_F)	2.008	states/eV/f.u.
total magnetic moment	0.0	μB/f.u.
crystal system	cubic
ΔE_f	-0.42	eV per atom
mass density	9.254	Mg/m³
calculated volume	325	Å³ per cell

a = 6.872 Å, b = 6.872 Å, c = 6.872 Å
α = 90.00°, β = 90.00°, γ = 90.00°
Space group F-43m (No. 216)
Inequivalent atoms, fractional coordinates:
Li 0.000 0.000 0.000 (multiplicity 4)
Lu 0.000 0.000 0.500 (multiplicity 4)
Ga 0.250 0.250 0.250 (multiplicity 4)
Hg 0.250 0.250 0.750 (multiplicity 4)


Material: Li2Mg3GaHg3
Method: DFT, PBE
State: optimized geometry

Summary:
D(E_F)	2.501	states/eV/f.u.
total magnetic moment	0.0	μB/f.u.
crystal system	hexagonal
ΔE_f	-0.19	eV per atom
mass density	7.045	Mg/m³
calculated volume	179	Å³ per cell

a = 7.8060 Å, b = 7.8060 Å, c = 3.3868 Å
α = 90.00°, β = 90.00°, γ = 120.00°
Space group P-62m (No. 189)
Inequivalent atoms, fractional coordinates:
Li 0.3333 0.6667 0.0000 (multiplicity 2)
Mg 0.0000 0.7201 0.0000 (multiplicity 3)
Ga 0.0000 0.0000 0.5000 (multiplicity 1)
Hg 0.0000 0.3901 0.5000 (multiplicity 3)


Material: LiMg2GaHg6
Method: DFT, PBE
State: optimized geometry

Summary:
D(E_F)	3.838	states/eV/f.u.
total magnetic moment	0.0	μB/f.u.
crystal system	monoclinic
ΔE_f	-0.09	eV per atom
mass density	9.303	Mg/m³
calculated volume	474	Å³ per cell

a = 8.467 Å, b = 7.957 Å, c = 7.356 Å
α = 90.00°, β = 106.82°, γ = 90.00°
Space group C2/m (No. 12)
Inequivalent atoms, fractional coordinates:
Li 0.000 0.000 0.000 (multiplicity 2)
Mg 0.173 0.500 0.181 (multiplicity 4)
Ga 0.000 0.500 0.500 (multiplicity 2)
Hg 0.107 0.278 0.815 (multiplicity 8)
Hg 0.145 0.000 0.409 (multiplicity 4)


Material: LiMg2Ga2Hg2
Method: DFT, PBE
State: optimized geometry

Summary:
D(E_F)	2.442	states/eV/f.u.
total magnetic moment	0.0	μB/f.u.
crystal system	trigonal
ΔE_f	-0.15	eV per atom
mass density	6.799	Mg/m³
calculated volume	437	Å³ per cell

a = 4.6598 Å, b = 4.6598 Å, c = 23.2298 Å
α = 90.00°, β = 90.00°, γ = 120.00°
Space group R-3m (No. 166, hexagonal axes)
Inequivalent atoms, fractional coordinates:
Li 0.0000 0.0000 0.0000 (multiplicity 3)
Mg 0.0000 0.0000 0.1293 (multiplicity 6)
Ga 0.0000 0.0000 0.2523 (multiplicity 6)
Hg 0.0000 0.0000 0.3916 (multiplicity 6)


Material: Li2GaHgN
Method: DFT, PBE
State: optimized geometry

Summary:
D(E_F)	2.987	states/eV/f.u.
total magnetic moment	0.2	μB/f.u.
crystal system	tetragonal
E_tot	-1.918	eV per atom
mass density	4.204	Mg/m³
calculated volume	118	Å³ per cell

a = 4.939 Å, b = 4.939 Å, c = 4.828 Å
α = 90.00°, β = 90.00°, γ = 90.00°
Space group P4/mmm (No. 123)
Inequivalent atoms, fractional coordinates:
Li 0.000 0.500 0.000 (multiplicity 2)
Ga 0.000 0.000 0.000 (multiplicity 1)
Hg 0.000 0.000 0.500 (multiplicity 1)
N 0.500 0.500 0.500 (multiplicity 1)


Material: Li2GaHgN
Method: DFT, PBE
State: optimized geometry

Summary:
D(E_F)	1.197	states/eV/f.u.
total magnetic moment	0.0	μB/f.u.
crystal system	tetragonal
E_tot	-3.306	eV per atom
mass density	6.721	Mg/m³
calculated volume	74	Å³ per cell

a = 4.289 Å, b = 4.289 Å, c = 4.006 Å
α = 90.00°, β = 90.00°, γ = 90.00°
Space group P4/mmm (No. 123)
Inequivalent atoms, fractional coordinates:
Li 0.000 0.500 0.000 (multiplicity 2)
Ga 0.000 0.000 0.500 (multiplicity 1)
Hg 0.500 0.500 0.500 (multiplicity 1)
N 0.000 0.000 0.000 (multiplicity 1)


Material: LiGaNiHg
Method: DFT, PBE
State: optimized geometry

Summary:
D(E_F)	1.857	states/eV/f.u.
total magnetic moment	0.0	μB/f.u.
crystal system	cubic
ΔE_f	-0.19	eV per atom
mass density	9.336	Mg/m³
calculated volume	239	Å³ per cell

a = 6.206 Å, b = 6.206 Å, c = 6.206 Å
α = 90.00°, β = 90.00°, γ = 90.00°
Space group F-43m (No. 216)
Inequivalent atoms, fractional coordinates:
Li 0.000 0.000 0.000 (multiplicity 4)
Ga 0.250 0.250 0.750 (multiplicity 4)
Ni 0.000 0.000 0.500 (multiplicity 4)
Hg 0.250 0.250 0.250 (multiplicity 4)


Material: LiPaGaHg
Method: DFT, PBE
State: optimized geometry

Summary:
D(E_F)	4.347	states/eV/f.u.
total magnetic moment	0.6	μB/f.u.
crystal system	cubic
ΔE_f	-0.09	eV per atom
mass density	9.773	Mg/m³
calculated volume	345	Å³ per cell

a = 7.017 Å, b = 7.017 Å, c = 7.017 Å
α = 90.00°, β = 90.00°, γ = 90.00°
Space group F-43m (No. 216)
Inequivalent atoms, fractional coordinates:
Li 0.000 0.000 0.000 (multiplicity 4)
Pa 0.000 0.000 0.500 (multiplicity 4)
Ga 0.250 0.250 0.250 (multiplicity 4)
Hg 0.250 0.250 0.750 (multiplicity 4)


Material: Li2GaHg5Pb2
Method: DFT, PBE
State: optimized geometry

Summary:
D(E_F)	4.641	states/eV/f.u.
total magnetic moment	0.0	μB/f.u.
crystal system	tetragonal
ΔE_f	-0.09	eV per atom
mass density	10.579	Mg/m³
calculated volume	471	Å³ per cell

a = 11.131 Å, b = 11.131 Å, c = 3.803 Å
α = 90.00°, β = 90.00°, γ = 90.00°
Space group P4/mbm (No. 127)
Inequivalent atoms, fractional coordinates:
Li 0.130 0.370 0.000 (multiplicity 4)
Ga 0.000 0.000 0.000 (multiplicity 2)
Hg 0.000 0.500 0.500 (multiplicity 2)
Hg 0.062 0.199 0.500 (multiplicity 8)
Pb 0.172 0.672 0.000 (multiplicity 4)


Material: Li2GaHgPd
Method: DFT, PBE
State: optimized geometry

Summary:
D(E_F)	2.111	states/eV/f.u.
total magnetic moment	0.0	μB/f.u.
crystal system	tetragonal
ΔE_f	0.30	eV per atom
mass density	5.896	Mg/m³
calculated volume	110	Å³ per cell

a = 4.750 Å, b = 4.750 Å, c = 4.875 Å
α = 90.00°, β = 90.00°, γ = 90.00°
Space group P4/mmm (No. 123)
Inequivalent atoms, fractional coordinates:
Li 0.000 0.500 0.000 (multiplicity 2)
Ga 0.000 0.000 0.500 (multiplicity 1)
Hg 0.000 0.000 0.000 (multiplicity 1)
Pd 0.500 0.500 0.500 (multiplicity 1)


Material: LiGaHgPd
Method: DFT, PBE
State: optimized geometry

Summary:
D(E_F)	2.212	states/eV/f.u.
total magnetic moment	0.0	μB/f.u.
crystal system	cubic
ΔE_f	-0.35	eV per atom
mass density	9.822	Mg/m³
calculated volume	259	Å³ per cell

a = 6.378 Å, b = 6.378 Å, c = 6.378 Å
α = 90.00°, β = 90.00°, γ = 90.00°
Space group F-43m (No. 216)
Inequivalent atoms, fractional coordinates:
Li 0.000 0.000 0.000 (multiplicity 4)
Ga 0.000 0.000 0.500 (multiplicity 4)
Hg 0.250 0.250 0.750 (multiplicity 4)
Pd 0.250 0.250 0.250 (multiplicity 4)


Material: LiPmGaHg
Method: DFT, PBE
State: optimized geometry

Summary:
D(E_F)	1.960	states/eV/f.u.
total magnetic moment	0.0	μB/f.u.
crystal system	cubic
ΔE_f	-0.45	eV per atom
mass density	7.845	Mg/m³
calculated volume	358	Å³ per cell

a = 7.097 Å, b = 7.097 Å, c = 7.097 Å
α = 90.00°, β = 90.00°, γ = 90.00°
Space group F-43m (No. 216)
Inequivalent atoms, fractional coordinates:
Li 0.000 0.000 0.000 (multiplicity 4)
Pm 0.000 0.000 0.500 (multiplicity 4)
Ga 0.250 0.250 0.250 (multiplicity 4)
Hg 0.250 0.250 0.750 (multiplicity 4)